Material: AcMn2IrO8
Method: DFT, PBE with a Hubbard U
State: optimized geometry

```
data_AcMn2IrO8
_cell_length_a 4.932
_cell_length_b 4.947
_cell_length_c 7.346
_cell_angle_alpha 88.81
_cell_angle_beta 88.66
_cell_angle_gamma 74.90
_space_group_name_H-M_alt 'P -1'
_space_group_IT_number 2
loop_
_space_group_symop_operation_xyz
'x,y,z'
'-x,-y,-z'
loop_
_atom_site_label
_atom_site_fract_x
_atom_site_fract_y
_atom_site_fract_z
_atom_site_occupancy
Ac1 0.000 0.000 0.000 1
Mn1 0.392 0.392 0.289 1
Ir1 0.000 0.000 0.500 1
O1 0.210 0.770 0.299 1
O2 0.229 0.788 0.701 1
O3 0.246 0.243 0.478 1
O4 0.315 0.311 0.069 1
```

DFT total energy (eV per atom): -7.068
Crystal system: triclinic
Magnetic moment (μB/cell): 4.03
Density of states at the Fermi level (states/eV per cell): 2.2